# Dy5Os2

An optimized crystal structure of Dy5Os2 (GGA-PBE, Alexandria via LeMat-Bulk).

Cell: 6.377 7.348 8.433 Å, 96.89 112.22 90.00°
Positions (direct):
Dy: 0.206 0.416 0.183
Dy: 0.024 0.084 0.817
Dy: 0.206 0.683 0.564
Dy: 0.641 0.817 0.436
Dy: 0.794 0.317 0.436
Dy: 0.359 0.183 0.564
Dy: 0.976 0.916 0.183
Dy: 0.794 0.584 0.817
Dy: 0.578 0.250 0.000
Dy: 0.422 0.750 0.000
Os: 0.177 0.422 0.780
Os: 0.396 0.078 0.220
Os: 0.823 0.578 0.220
Os: 0.604 0.922 0.780

Properties
Energy relative to the elements, eV per atom: -0.2739
ρ, g/cm³: 10.922

***

# DyOs2

An optimized crystal structure of DyOs2 (GGA-PBE, Alexandria via LeMat-Bulk).

Cell: 5.310 5.310 8.882 Å, 90.00 90.00 120.00°
Positions (direct):
Os: 0.829 0.171 0.250
Os: 0.829 0.657 0.250
Os: 0.657 0.829 0.750
Os: 0.171 0.829 0.750
Os: 0.343 0.171 0.250
Os: 0.000 0.000 0.000
Os: 0.171 0.343 0.750
Os: 0.000 0.000 0.500
Dy: 0.667 0.333 0.565
Dy: 0.333 0.667 0.435
Dy: 0.333 0.667 0.065
Dy: 0.667 0.333 0.935

Properties
Energy relative to the elements, eV per atom: -0.3079
ρ, g/cm³: 16.630

***

# DyP12Os4

An optimized crystal structure of DyP12Os4 (GGA-PBE, Alexandria via LeMat-Bulk).

Cell: 7.017 7.017 7.017 Å, 109.47 109.47 109.47°
Positions (direct):
Dy: 0.000 0.000 0.000
P: 0.858 0.356 0.214
P: 0.356 0.499 0.142
P: 0.786 0.142 0.644
P: 0.356 0.214 0.858
P: 0.214 0.858 0.356
P: 0.644 0.501 0.858
P: 0.499 0.142 0.356
P: 0.501 0.858 0.644
P: 0.644 0.786 0.142
P: 0.858 0.644 0.501
P: 0.142 0.356 0.499
P: 0.142 0.644 0.786
Os: 0.000 0.500 0.000
Os: 0.500 0.000 0.000
Os: 0.500 0.500 0.500
Os: 0.000 0.000 0.500

Properties
Energy relative to the elements, eV per atom: -0.5702
ρ, g/cm³: 8.084

***

# DyP2Os

An optimized crystal structure of DyP2Os (GGA-PBE, Alexandria via LeMat-Bulk).

Cell: 3.860 3.860 5.820 Å, 70.63 70.63 60.00°
Positions (direct):
P: 0.271 0.271 0.186
P: 0.729 0.729 0.814
Os: 0.000 0.000 0.000
Dy: 0.500 0.500 0.500

Properties
Energy relative to the elements, eV per atom: -0.7825
ρ, g/cm³: 9.923

***

# Dy3PaOs8

An optimized crystal structure of Dy3PaOs8 (GGA-PBE, Alexandria via LeMat-Bulk).

Cell: 5.357 5.357 9.293 Å, 73.25 73.25 60.00°
Positions (direct):
Dy: 0.375 0.375 0.875
Dy: 0.001 0.001 0.997
Dy: 0.499 0.499 0.503
Pa: 0.875 0.875 0.376
Os: 0.937 0.438 0.187
Os: 0.437 0.938 0.687
Os: 0.438 0.438 0.187
Os: 0.938 0.938 0.687
Os: 0.188 0.188 0.437
Os: 0.688 0.688 0.937
Os: 0.438 0.937 0.187
Os: 0.938 0.437 0.687

Properties
Energy relative to the elements, eV per atom: -0.2845
ρ, g/cm³: 17.083

***

# Dy2Pa2Os3

An optimized crystal structure of Dy2Pa2Os3 (GGA-PBE, Alexandria via LeMat-Bulk).

Cell: 3.843 6.862 6.995 Å, 101.70 74.08 106.24°
Positions (direct):
Dy: 0.066 0.756 0.624
Dy: 0.934 0.244 0.376
Pa: 0.680 0.272 0.912
Pa: 0.320 0.728 0.088
Os: 0.000 0.000 0.000
Os: 0.630 0.549 0.289
Os: 0.370 0.451 0.711

Properties
Energy relative to the elements, eV per atom: -0.2764
ρ, g/cm³: 13.365

***

# Dy2PaOs

An optimized crystal structure of Dy2PaOs (GGA-PBE, Alexandria via LeMat-Bulk).

Cell: 3.230 3.230 10.930 Å, 81.50 81.50 60.00°
Positions (direct):
Pa: 0.000 0.000 0.000
Os: 0.500 0.500 0.500
Dy: 0.100 0.100 0.699
Dy: 0.900 0.900 0.301

Properties
Energy relative to the elements, eV per atom: 0.3396
ρ, g/cm³: 12.732

***

# DyPaOs4

An optimized crystal structure of DyPaOs4 (GGA-PBE, Alexandria via LeMat-Bulk).

Cell: 5.364 5.364 5.364 Å, 60.00 60.00 60.00°
Positions (direct):
Pa: 0.000 0.000 0.000
Os: 0.625 0.625 0.126
Os: 0.625 0.126 0.625
Os: 0.625 0.625 0.625
Os: 0.126 0.625 0.625
Dy: 0.250 0.250 0.250

Properties
Energy relative to the elements, eV per atom: -0.2767
ρ, g/cm³: 17.563